DFT (PBE) results for a relaxed structure of SrCo2Rh.

The value obtained for the final energy is -5.214 eV per atom. The calculation puts the size of the total moment at 3.96 μB per formula unit. The value obtained for the density of states at the Fermi level is 38.01 states/eV per cell. Its calculated volume is 67 Å³/f.u.

The structure belongs to space group Fm-3m (No. 225); the cell edges are 6.457, 6.457 and 6.457 Å and the angles 90.00°, 90.00° and 90.00°. The inequivalent atoms are Sr at (0.000, 0.000, 0.000), Co at (0.250, 0.250, 0.250) and Rh at (0.000, 0.000, 0.500).



DFT (PBE) results for a relaxed structure of Sr2YCoRh.

The value obtained for the final energy is -3.634 eV per atom. The calculation puts the size of the total moment at 0.49 μB per formula unit. The value obtained for the density of states at the Fermi level is 4.67 states/eV per cell. Its calculated volume is 168 Å³/f.u.

The structure belongs to space group P4/mmm (No. 123); the cell edges are 6.199, 6.199 and 4.364 Å and the angles 90.00°, 90.00° and 90.00°. The inequivalent atoms are Sr at (0.000, 0.500, 0.000), Y at (0.000, 0.000, 0.000), Co at (0.000, 0.000, 0.500) and Rh at (0.500, 0.500, 0.500).



DFT (PBE) results for a relaxed structure of SrY2CoRh.

The value obtained for the final energy is -5.754 eV per atom. The calculation puts the size of the total moment at 0.74 μB per formula unit. The value obtained for the density of states at the Fermi level is 4.22 states/eV per cell. Its calculated volume is 130 Å³/f.u.

The structure belongs to space group P4/mmm (No. 123); the cell edges are 5.151, 5.151 and 4.888 Å and the angles 90.00°, 90.00° and 90.00°. The inequivalent atoms are Sr at (0.000, 0.000, 0.000), Y at (0.000, 0.500, 0.500), Co at (0.500, 0.500, 0.500) and Rh at (0.500, 0.500, 0.000).



DFT (PBE) results for a relaxed structure of SrZnCo2Rh.

The value obtained for the final energy is -2.936 eV per atom. The calculation puts the size of the total moment at 2.78 μB per formula unit. The value obtained for the density of states at the Fermi level is 9.14 states/eV per cell. Its calculated volume is 110 Å³/f.u.

The structure belongs to space group P4/mmm (No. 123); the cell edges are 4.697, 4.697 and 4.979 Å and the angles 90.00°, 90.00° and 90.00°. The inequivalent atoms are Sr at (0.000, 0.000, 0.000), Zn at (0.500, 0.500, 0.500), Co at (0.000, 0.500, 0.000) and Rh at (0.000, 0.000, 0.500).



Looking at energy relative to the elements for the records above, in order, we have 0.60, 1.22, 0.06, 1.97 eV/atom.